Record 1
{
  "formula": "HSF",
  "functional": "GGA-PBE",
  "state": "relaxed",
  "polymorph_energy_mev_per_atom": 17,
  "e_tot_ha_per_atom": -0.146,
  "cell": [[-5.5028, 2.4348, 1.2670], [0.4327, -2.1502, 2.1898], [-0.0138, 2.8241, 4.8954]],
  "species": ["S", "S", "H", "H", "F", "F"],
  "fractional_positions": [[0.2024, 0.9961, 0.7058], [0.3421, 0.7150, 0.3981], [0.8162, 0.7451, 0.8128], [0.7283, 0.9661, 0.2911], [0.6315, 0.6092, 0.8888], [0.9130, 0.1019, 0.2152]]
}


Record 2
{
  "formula": "DyMgBe",
  "functional": "GGA-PBE",
  "state": "relaxed",
  "dos_ef_per_ev_cell": 3.013,
  "e_form_ev_per_fu": 0.49,
  "e_tot_ha_per_atom": -0.116,
  "cell": [[5.3784, -0.0032, 0.0000], [-2.5785, 4.7200, 0.0000], [-1.3999, -2.3584, 4.8461]],
  "species": ["Be", "Be", "Mg", "Mg", "Dy", "Dy"],
  "fractional_positions": [[0.2500, 0.7500, 0.5000], [0.7500, 0.2500, 0.5000], [0.8368, 0.8368, 0.6736], [0.1632, 0.1632, 0.3264], [0.3275, 0.6725, 0.0000], [0.6725, 0.3275, 0.0000]]
}


Record 3
{
  "formula": "Li2BePt",
  "functional": "GGA-PBE",
  "state": "relaxed",
  "dos_ef_per_ev_cell": 1.675,
  "e_form_ev_per_fu": -1.75,
  "e_tot_ha_per_atom": -0.141,
  "cell": [[-3.3991, 0.6330, -2.1473], [0.0668, -0.3185, -4.0570], [-1.8641, -3.1229, -1.8271]],
  "species": ["Be", "Li", "Li", "Pt"],
  "fractional_positions": [[0.5000, 0.5000, 0.5000], [0.0000, 0.0000, 0.0000], [0.7500, 0.7500, 0.7500], [0.2500, 0.2500, 0.2500]]
}


Record 4
{
  "formula": "NaPm5Au6",
  "functional": "GGA-PBE",
  "state": "relaxed",
  "dos_ef_per_ev_cell": 8.492,
  "e_form_ev_per_fu": -8.71,
  "e_tot_ha_per_atom": -0.164,
  "cell": [[4.9725, 0.0197, -1.4537], [-1.0151, 6.4975, -3.3835], [-0.0830, 0.4559, 8.9833]],
  "species": ["Pm", "Pm", "Pm", "Pm", "Pm", "Au", "Au", "Au", "Au", "Au", "Au", "Na"],
  "fractional_positions": [[0.6550, 0.1542, 0.3085], [0.6689, 0.6699, 0.3399], [0.3450, 0.8458, 0.6915], [0.3311, 0.3301, 0.6601], [0.0000, 0.5000, 0.0000], [0.8249, 0.0886, 0.6482], [0.8249, 0.5596, 0.6482], [0.5000, 0.2718, 0.0000], [0.1751, 0.4404, 0.3518], [0.1751, 0.9114, 0.3518], [0.5000, 0.7282, 0.0000], [0.0000, 0.0000, 0.0000]]
}


Record 5
{
  "formula": "TbPm5Pt6",
  "functional": "GGA-PBE",
  "state": "relaxed",
  "dos_ef_per_ev_cell": 8.075,
  "e_form_ev_per_fu": -13.21,
  "e_tot_ha_per_atom": -0.238,
  "cell": [[-3.0725, -0.6270, 3.9892], [0.5620, -7.0160, -0.6700], [4.8119, -3.7768, 6.2815]],
  "species": ["Pm", "Pm", "Pm", "Pm", "Pm", "Pt", "Pt", "Pt", "Pt", "Pt", "Pt", "Tb"],
  "fractional_positions": [[0.6668, 0.1670, 0.6661], [0.3333, 0.3337, 0.3325], [0.0000, 0.5000, 0.0000], [0.3332, 0.8330, 0.3339], [0.6667, 0.6663, 0.6675], [0.1625, 0.4083, 0.6758], [0.5000, 0.2428, 0.0000], [0.1625, 0.9158, 0.6759], [0.8375, 0.0842, 0.3241], [0.5000, 0.7572, 0.0000], [0.8375, 0.5917, 0.3242], [0.0000, 0.0000, 0.0000]]
}


Record 6
{
  "formula": "Y4InCu3",
  "functional": "GGA-PBE",
  "state": "relaxed",
  "dos_ef_per_ev_cell": 4.788,
  "e_form_ev_per_fu": -2.30,
  "e_tot_ha_per_atom": -0.198,
  "cell": [[4.8339, 0.0000, 1.4269], [2.2064, 4.3010, 1.4269], [0.0500, 0.0306, 8.7318]],
  "species": ["Y", "Y", "Y", "Y", "Cu", "Cu", "Cu", "In"],
  "fractional_positions": [[0.6181, 0.6181, 0.1456], [0.8692, 0.8692, 0.3923], [0.3819, 0.3819, 0.8544], [0.1308, 0.1308, 0.6077], [0.2549, 0.2549, 0.2354], [0.7451, 0.7451, 0.7646], [0.5000, 0.5000, 0.5000], [0.0000, 0.0000, 0.0000]]
}


Record 7
{
  "formula": "Be3CrFe4",
  "functional": "GGA-PBE",
  "state": "relaxed",
  "dos_ef_per_ev_cell": 13.994,
  "e_form_ev_per_fu": -0.92,
  "e_tot_ha_per_atom": -0.255,
  "cell": [[-2.3513, 2.7151, -1.2152], [-3.8573, -3.5705, -0.5142], [-2.1717, 1.3172, 7.1451]],
  "species": ["Fe", "Fe", "Fe", "Fe", "Fe", "Fe", "Fe", "Fe", "Be", "Be", "Be", "Be", "Be", "Be", "Cr", "Cr"],
  "fractional_positions": [[0.5000, 0.7621, 0.5000], [0.0002, 0.2379, 0.7500], [0.5000, 0.7621, 0.0000], [0.9998, 0.2379, 0.2500], [0.9998, 0.7621, 0.2500], [0.5000, 0.2379, 0.0000], [0.0002, 0.7621, 0.7500], [0.5000, 0.2379, 0.5000], [0.5002, 0.5000, 0.7500], [0.5002, 0.0000, 0.7500], [0.4998, 0.5000, 0.2500], [0.0000, 0.0000, 0.5000], [0.0000, 0.0000, 0.0000], [0.4998, 0.0000, 0.2500], [0.0000, 0.5000, 0.5000], [0.0000, 0.5000, 0.0000]]
}


Record 8
{
  "formula": "KMoI2N",
  "functional": "GGA-PBE",
  "state": "relaxed",
  "dos_ef_per_ev_cell": 4.033,
  "polymorph_energy_mev_per_atom": 1763,
  "raw_formation_energy_ev_per_atom": 1.4955,
  "e_tot_ha_per_atom": -0.117,
  "cell": [[6.3834, 0.0000, 0.0000], [0.0000, 6.3834, 0.0000], [0.0000, 0.0000, 4.9844]],
  "species": ["N", "I", "I", "K", "Mo"],
  "fractional_positions": [[0.0000, 0.0000, 0.5000], [0.0000, 0.5000, 0.0000], [0.5000, 0.0000, 0.0000], [0.0000, 0.0000, 0.0000], [0.5000, 0.5000, 0.5000]]
}


Record 9
{
  "formula": "Mn2BiPRu",
  "functional": "GGA-PBE",
  "state": "relaxed",
  "dos_ef_per_ev_cell": 3.230,
  "polymorph_energy_mev_per_atom": 0,
  "e_form_ev_per_fu": 0.95,
  "e_tot_ha_per_atom": -0.264,
  "cell": [[4.4390, 0.0000, 0.0000], [0.0000, 4.4947, 0.0000], [0.0000, 0.0000, 4.4390]],
  "species": ["Ru", "Mn", "Mn", "Bi", "P"],
  "fractional_positions": [[0.0000, 0.5000, 0.0000], [0.5000, 0.0000, 0.0000], [0.0000, 0.0000, 0.5000], [0.5000, 0.5000, 0.5000], [0.0000, 0.0000, 0.0000]]
}


Record 10
{
  "formula": "ErThCo2P2",
  "functional": "GGA-PBE",
  "state": "relaxed",
  "dos_ef_per_ev_cell": 6.406,
  "e_form_ev_per_fu": -6.66,
  "e_tot_ha_per_atom": -0.268,
  "cell": [[3.8922, 0.0000, 0.0000], [-1.9461, 3.3708, 0.0000], [0.0000, 0.0000, 7.8764]],
  "species": ["Th", "Co", "Co", "P", "P", "Er"],
  "fractional_positions": [[0.0000, 0.0000, 0.0000], [0.3333, 0.6667, 0.7592], [0.6667, 0.3333, 0.2408], [0.3333, 0.6667, 0.2691], [0.6667, 0.3333, 0.7309], [0.0000, 0.0000, 0.5000]]
}


Record 11
{
  "formula": "Ta2Nb3Fe",
  "functional": "GGA-PBE",
  "state": "relaxed",
  "dos_ef_per_ev_cell": 5.339,
  "e_form_ev_per_fu": -0.14,
  "e_tot_ha_per_atom": -0.383,
  "cell": [[-0.7732, 2.0823, -2.3445], [-1.7838, -3.5238, -2.5414], [-5.1097, 2.7437, 4.1219]],
  "species": ["Fe", "Nb", "Nb", "Nb", "Ta", "Ta"],
  "fractional_positions": [[0.0000, 0.0000, 0.0000], [0.5000, 0.5000, 0.0000], [0.0000, 0.6651, 0.3302], [0.0000, 0.3349, 0.6698], [0.5000, 0.1579, 0.3158], [0.5000, 0.8421, 0.6842]]
}


Record 12
{
  "formula": "MgNbBi2",
  "functional": "GGA-PBE",
  "state": "relaxed",
  "dos_ef_per_ev_cell": 2.974,
  "e_form_ev_per_fu": 0.63,
  "e_tot_ha_per_atom": -0.173,
  "cell": [[3.3926, 0.0000, 0.0000], [1.6963, 2.9381, 0.0000], [1.6963, 0.9794, 11.0022]],
  "species": ["Bi", "Bi", "Mg", "Nb"],
  "fractional_positions": [[0.0984, 0.0984, 0.7049], [0.9016, 0.9016, 0.2951], [0.0000, 0.0000, 0.0000], [0.5000, 0.5000, 0.5000]]
}


Record 13
{
  "formula": "FeSb2Cl",
  "functional": "GGA-PBE",
  "state": "relaxed",
  "dos_ef_per_ev_cell": 3.012,
  "polymorph_energy_mev_per_atom": 167,
  "raw_formation_energy_ev_per_atom": 0.0846,
  "e_tot_ha_per_atom": -0.167,
  "cell": [[-4.7744, 1.1335, -5.9364], [-6.9380, -2.1893, -2.5282], [4.9644, 2.7937, 5.1836]],
  "species": ["Fe", "Sb", "Sb", "Cl"],
  "fractional_positions": [[0.2146, 0.7146, 0.5000], [0.7525, 0.2525, 0.5000], [0.0750, 0.0750, 0.0000], [0.4579, 0.4579, 0.0000]]
}


Record 14
{
  "formula": "Dy3GaNi8",
  "functional": "GGA-PBE",
  "state": "relaxed",
  "dos_ef_per_ev_cell": 10.297,
  "e_form_ev_per_fu": -5.26,
  "e_tot_ha_per_atom": -0.209,
  "cell": [[-0.3080, 1.5481, 4.7366], [-2.7685, -2.5460, 3.2834], [5.4422, -4.8986, 4.5863]],
  "species": ["Ni", "Ni", "Ni", "Ni", "Ni", "Ni", "Ni", "Ni", "Dy", "Dy", "Dy", "Ga"],
  "fractional_positions": [[0.6886, 0.6886, 0.9343], [0.1889, 0.1889, 0.4334], [0.4362, 0.9403, 0.1873], [0.9403, 0.4362, 0.1873], [0.9386, 0.9386, 0.6822], [0.4362, 0.4362, 0.1873], [0.4405, 0.9386, 0.6822], [0.9386, 0.4405, 0.6822], [0.3772, 0.3772, 0.8685], [0.9914, 0.9914, 0.0260], [0.5062, 0.5062, 0.4814], [0.8674, 0.8674, 0.3979]]
}


Record 15
{
  "formula": "InSbCI2",
  "functional": "GGA-PBE",
  "state": "relaxed",
  "dos_ef_per_ev_cell": 3.346,
  "polymorph_energy_mev_per_atom": 0,
  "raw_formation_energy_ev_per_atom": 0.9122,
  "e_tot_ha_per_atom": -0.107,
  "cell": [[-3.5967, -1.0534, 3.7879], [3.7911, 0.4314, 3.7197], [-0.9384, 4.6881, 0.4127]],
  "species": ["I", "I", "Sb", "C", "In"],
  "fractional_positions": [[0.5000, 0.0000, 0.0000], [0.0000, 0.5000, 0.0000], [0.0000, 0.0000, 0.5000], [0.0000, 0.0000, 0.0000], [0.5000, 0.5000, 0.5000]]
}


Record 16
{
  "formula": "Cr2Ni7Pd2",
  "functional": "GGA-PBE",
  "state": "relaxed",
  "dos_ef_per_ev_cell": 18.157,
  "e_form_ev_per_fu": 2.08,
  "e_tot_ha_per_atom": -0.227,
  "cell": [[-1.5916, -4.3934, -3.1030], [2.8452, -3.1430, -5.3253], [0.2371, -6.7175, 1.0734]],
  "species": ["Ni", "Ni", "Ni", "Ni", "Ni", "Ni", "Ni", "Cr", "Cr", "Pd", "Pd"],
  "fractional_positions": [[0.3210, 0.9054, 0.4417], [0.1522, 0.5973, 0.5973], [0.6790, 0.0946, 0.5583], [0.5000, 0.0000, 0.0000], [0.6790, 0.5584, 0.0946], [0.8478, 0.4027, 0.4027], [0.3210, 0.4416, 0.9054], [0.0000, 0.7159, 0.2841], [0.0000, 0.2841, 0.7159], [0.4138, 0.8010, 0.8010], [0.5862, 0.1990, 0.1990]]
}


Record 17
{
  "formula": "KCdIr2",
  "functional": "GGA-PBE",
  "state": "relaxed",
  "dos_ef_per_ev_cell": 3.970,
  "e_form_ev_per_fu": 1.16,
  "e_tot_ha_per_atom": -0.171,
  "cell": [[4.1906, 0.0000, 0.0000], [0.0000, 2.7875, 0.0820], [0.0000, 1.1250, 8.0350]],
  "species": ["Ir", "Ir", "Cd", "K"],
  "fractional_positions": [[0.0000, 0.7791, 0.0692], [0.5000, 0.2398, 0.1486], [0.5000, 0.9050, 0.8132], [0.0000, 0.5761, 0.4690]]
}


Record 18
{
  "formula": "CrBRh3",
  "functional": "GGA-PBE",
  "state": "relaxed",
  "dos_ef_per_ev_cell": 9.036,
  "e_form_ev_per_fu": -0.67,
  "e_tot_ha_per_atom": -0.287,
  "cell": [[3.6687, 0.0000, 0.0000], [0.0000, 5.3785, -0.7959], [0.0000, -0.3184, 6.5087]],
  "species": ["Rh", "Rh", "Rh", "Rh", "Rh", "Rh", "B", "B", "Cr", "Cr"],
  "fractional_positions": [[0.4756, 0.4224, 0.1660], [0.9756, 0.4792, 0.4812], [0.4756, 0.2803, 0.7343], [0.4755, 0.9124, 0.1568], [0.9756, 0.6213, 0.9129], [0.9755, 0.9891, 0.4904], [0.9757, 0.6812, 0.2366], [0.4757, 0.2203, 0.4106], [0.4758, 0.7866, 0.7017], [0.9758, 0.1149, 0.9455]]
}


Record 19
{
  "formula": "PrNdBr",
  "functional": "GGA-PBE",
  "state": "relaxed",
  "dos_ef_per_ev_cell": 6.570,
  "polymorph_energy_mev_per_atom": 0,
  "raw_formation_energy_ev_per_atom": -0.7636,
  "e_tot_ha_per_atom": -0.166,
  "cell": [[-2.4939, -0.3020, 2.9395], [-0.2153, -3.2854, 2.0230], [8.3874, 8.1845, 10.4982]],
  "species": ["Nd", "Nd", "Br", "Br", "Pr", "Pr"],
  "fractional_positions": [[0.2399, 0.9272, 0.5931], [0.7601, 0.0728, 0.4069], [0.7519, 0.7492, 0.7472], [0.2481, 0.2508, 0.2528], [0.0725, 0.7603, 0.0947], [0.9275, 0.2397, 0.9053]]
}


Record 20
{
  "formula": "ZrTaW",
  "functional": "GGA-PBE",
  "state": "relaxed",
  "dos_ef_per_ev_cell": 2.812,
  "polymorph_energy_mev_per_atom": 357,
  "e_form_ev_per_fu": 0.85,
  "e_tot_ha_per_atom": -0.398,
  "cell": [[-4.8703, 1.1396, 0.4993], [-2.9898, -3.4817, -2.0512], [3.3940, 1.1479, 3.5258]],
  "species": ["Zr", "W", "Ta"],
  "fractional_positions": [[0.6657, 0.6657, 0.0000], [0.3322, 0.3322, 0.0000], [0.0021, 0.0021, 0.0000]]
}


Record 21
{
  "formula": "Sr2CrRu",
  "functional": "GGA-PBE",
  "state": "relaxed",
  "dos_ef_per_ev_cell": 5.026,
  "polymorph_energy_mev_per_atom": 531,
  "e_form_ev_per_fu": 3.09,
  "e_tot_ha_per_atom": -0.176,
  "cell": [[-0.3870, -0.3991, 3.5800], [2.1979, -2.8789, -0.0833], [6.6414, 5.0334, 1.2791]],
  "species": ["Sr", "Sr", "Ru", "Cr"],
  "fractional_positions": [[0.0000, 0.0000, 0.9637], [0.0000, 0.0000, 0.5363], [0.5000, 0.5000, 0.7500], [0.5000, 0.5000, 0.2500]]
}


Record 22
{
  "formula": "Tb4HoAl5",
  "functional": "GGA-PBE",
  "state": "relaxed",
  "dos_ef_per_ev_cell": 4.586,
  "e_form_ev_per_fu": -3.95,
  "e_tot_ha_per_atom": -0.168,
  "cell": [[3.5978, 0.0000, 0.0000], [0.0000, 3.5978, 0.0000], [0.0000, 0.0000, 18.1485]],
  "species": ["Al", "Al", "Al", "Al", "Al", "Tb", "Tb", "Tb", "Tb", "Ho"],
  "fractional_positions": [[0.5000, 0.5000, 0.2992], [0.5000, 0.5000, 0.9022], [0.5000, 0.5000, 0.5000], [0.5000, 0.5000, 0.7008], [0.5000, 0.5000, 0.0978], [0.0000, 0.0000, 0.6004], [0.0000, 0.0000, 0.8014], [0.0000, 0.0000, 0.1986], [0.0000, 0.0000, 0.3996], [0.0000, 0.0000, 0.0000]]
}


Record 23
{
  "formula": "La3AuO",
  "functional": "GGA-PBE",
  "state": "relaxed",
  "dos_ef_per_ev_cell": 8.844,
  "polymorph_energy_mev_per_atom": 51,
  "raw_formation_energy_ev_per_atom": -1.4090,
  "e_tot_ha_per_atom": -0.221,
  "cell": [[-3.5141, -1.4765, 6.3486], [6.7323, -2.9859, -2.5267], [1.4931, 3.9967, 5.9695]],
  "species": ["Au", "Au", "La", "La", "La", "La", "La", "La", "O", "O"],
  "fractional_positions": [[0.2566, 0.0290, 0.7845], [0.3876, 0.7401, 0.1095], [0.9207, 0.6447, 0.1067], [0.6714, 0.5691, 0.7184], [0.3440, 0.6481, 0.5081], [0.3001, 0.1209, 0.3858], [0.9724, 0.1997, 0.1756], [0.7234, 0.1243, 0.7872], [0.0680, 0.2785, 0.4568], [0.5760, 0.4906, 0.4372]]
}


Record 24
{
  "formula": "HfZn2Ni9",
  "functional": "GGA-PBE",
  "state": "relaxed",
  "dos_ef_per_ev_cell": 12.079,
  "polymorph_energy_mev_per_atom": 0,
  "e_form_ev_per_fu": -2.94,
  "e_tot_ha_per_atom": -0.207,
  "cell": [[3.6529, 0.0000, 0.0000], [0.0000, 3.6529, 0.0000], [0.0000, 0.0000, 10.7621]],
  "species": ["Ni", "Ni", "Ni", "Ni", "Ni", "Ni", "Ni", "Ni", "Ni", "Zn", "Zn", "Hf"],
  "fractional_positions": [[0.0000, 0.5000, 0.1763], [0.0000, 0.5000, 0.8237], [0.5000, 0.5000, 0.3370], [0.5000, 0.0000, 0.1763], [0.5000, 0.0000, 0.8237], [0.5000, 0.5000, 0.6630], [0.5000, 0.5000, 0.0000], [0.5000, 0.0000, 0.5000], [0.0000, 0.5000, 0.5000], [0.0000, 0.0000, 0.6608], [0.0000, 0.0000, 0.3392], [0.0000, 0.0000, 0.0000]]
}


Record 25
{
  "formula": "ZrSn2GeSe",
  "functional": "GGA-PBE",
  "state": "relaxed",
  "dos_ef_per_ev_cell": 6.257,
  "polymorph_energy_mev_per_atom": 0,
  "raw_formation_energy_ev_per_atom": 0.3408,
  "e_tot_ha_per_atom": -0.169,
  "cell": [[5.6580, 0.0000, 0.0000], [0.0000, 5.0426, 0.0000], [0.0000, 0.0000, 5.6580]],
  "species": ["Zr", "Sn", "Sn", "Ge", "Se"],
  "fractional_positions": [[0.0000, 0.0000, 0.0000], [0.0000, 0.0000, 0.5000], [0.5000, 0.0000, 0.0000], [0.5000, 0.5000, 0.5000], [0.0000, 0.5000, 0.0000]]
}